Entry 1:
A relaxed BaTaH crystal. Source: Alexandria via LeMat-Bulk, functional PBE.

Calculated values
The value obtained for the polymorph energy (0 for the lowest one) is 176 meV per atom. Its volume is 24.2 Å³ per atom. As for the total DFT energy (no corrections): -5.474 eV/atom. Its space group is P-1. For the density of states at the Fermi level, the calculation gives 4.3 states/eV per cell.

```
6
Lattice="-3.9362 -3.9657 8.8877 -1.4062 -2.3523 -2.3090 3.0538 -2.3691 0.5496" Properties=species:S:1:pos:R:3 pbc="T T T"
Ta -0.9133 -5.7596 3.4735
H -2.2760 -3.3862 1.8887
Ba -2.8274 -4.8056 6.4444
H -0.0125 -5.3009 5.2396
Ta -1.3752 -2.9274 3.6548
Ba 0.5389 -3.8814 0.6839
```

---

Entry 2:
A relaxed BaTaH crystal. Source: Alexandria via LeMat-Bulk, functional PBE.

Calculated values
The value obtained for the polymorph energy (0 for the lowest one) is 100 meV per atom. Its volume is 23.8 Å³ per atom. As for the total DFT energy (no corrections): -5.550 eV/atom. Its space group is P1. For the density of states at the Fermi level, the calculation gives 5.1 states/eV per cell.

```
6
Lattice="-9.6820 -3.8760 1.2803 1.8789 -3.0571 -0.0207 -0.1561 -0.1223 3.8967" Properties=species:S:1:pos:R:3 pbc="T T T"
H -4.9869 -5.2707 1.6639
Ta -6.8198 -4.2915 1.6207
Ba -3.7718 -2.4213 1.8036
H -3.5211 -4.3844 3.7033
Ta -5.1783 -5.4024 3.6055
Ba -0.4018 -0.3283 2.1623
```

---

Entry 3:
A relaxed BaTaH crystal. Source: Alexandria via LeMat-Bulk, functional PBE.

Calculated values
The value obtained for the polymorph energy (0 for the lowest one) is 170 meV per atom. Its volume is 22.7 Å³ per atom. As for the total DFT energy (no corrections): -5.479 eV/atom. Its space group is Cm. For the density of states at the Fermi level, the calculation gives 4.5 states/eV per cell.

```
6
Lattice="20.2589 0.0000 0.0108 9.8218 1.7790 -1.8823 -9.8218 1.7790 1.8823" Properties=species:S:1:pos:R:3 pbc="T T T"
H 18.7684 1.7790 0.0610
H 12.9731 1.7790 -0.1925
Ba 20.6215 1.7790 -1.6691
Ta 17.0506 1.7790 -0.8434
Ta 7.8417 1.7790 -1.0359
Ba 4.3084 1.7790 -0.4486
```

---

Entry 4:
A relaxed BaTaH crystal. Source: Alexandria via LeMat-Bulk, functional PBE.

Calculated values
The value obtained for the polymorph energy (0 for the lowest one) is 168 meV per atom. Its volume is 22.6 Å³ per atom. As for the total DFT energy (no corrections): -5.482 eV/atom. Its space group is P1. For the density of states at the Fermi level, the calculation gives 6.0 states/eV per cell.

```
6
Lattice="-4.4586 -9.1606 -3.2717 1.9958 -1.7583 4.5054 -2.6500 2.2479 -0.7574" Properties=species:S:1:pos:R:3 pbc="T T T"
H -4.0295 -5.2583 -1.8334
Ta -1.9841 -1.6770 1.6912
Ta -2.3708 -0.0897 -0.6003
Ba -4.1926 -8.1749 -1.5492
Ba -2.1778 -5.1143 0.4638
H -1.2159 -3.2195 2.7636
```

---

Entry 5:
A relaxed BaTaH crystal. Source: Alexandria via LeMat-Bulk, functional PBE.

Calculated values
The value obtained for the polymorph energy (0 for the lowest one) is 658 meV per atom. Its volume is 20.8 Å³ per atom. As for the total DFT energy (no corrections): -4.991 eV/atom. Its space group is P4/nmm. For the density of states at the Fermi level, the calculation gives 6.7 states/eV per cell.

```
6
Lattice="-3.7058 -0.3277 -2.5695 1.3175 -4.1000 -1.3773 -3.0086 -2.5328 4.6621" Properties=species:S:1:pos:R:3 pbc="T T T"
H -0.2710 -2.8327 0.7521
Ba -1.5043 -1.2664 2.3310
Ta -4.8369 -2.6760 3.3392
Ta 0.6341 -2.0707 -0.6505
H -3.9318 -1.9140 1.9366
Ba -2.6985 -3.4802 0.3577
```

---

Entry 6:
A relaxed BaTaH crystal. Source: Alexandria via LeMat-Bulk, functional PBE.

Calculated values
The value obtained for the polymorph energy (0 for the lowest one) is 518 meV per atom. Its volume is 28.7 Å³ per atom. As for the total DFT energy (no corrections): -5.131 eV/atom. Its space group is Imma. For the density of states at the Fermi level, the calculation gives 9.7 states/eV per cell.

```
12
Lattice="-3.9590 -0.7984 1.1393 -0.9194 -5.5452 -7.0812 2.8619 -6.9524 5.0727" Properties=species:S:1:pos:R:3 pbc="T T T"
H 1.3227 -5.1591 0.9826
Ta -2.7228 -9.6352 -0.7585
H -3.3392 -8.1369 -1.8518
Ba 0.0000 0.0000 0.0000
Ta -0.3017 -10.3088 -0.5454
Ba -0.5486 -3.8754 3.1060
Ta -1.7148 -2.9872 -0.3238
Ba -0.4597 -2.7726 -3.5406
Ta 0.7062 -3.6608 -0.1107
H -2.5466 -4.8545 -4.5250
Ba -1.0083 -6.6480 -0.4346
H 0.5300 -8.4415 3.6558
```

---

Entry 7:
A relaxed BaTaH crystal. Source: Alexandria via LeMat-Bulk, functional PBE.

Calculated values
The value obtained for the polymorph energy (0 for the lowest one) is 179 meV per atom. Its volume is 23.4 Å³ per atom. As for the total DFT energy (no corrections): -5.470 eV/atom. Its space group is Pm. For the density of states at the Fermi level, the calculation gives 4.6 states/eV per cell.

```
6
Lattice="-0.2791 -1.9330 -2.8263 -1.1860 -3.0501 2.2032 -9.6974 3.9658 0.2703" Properties=species:S:1:pos:R:3 pbc="T T T"
H -8.2845 1.7455 -2.0430
Ta -7.0734 2.3806 -0.5118
Ba -10.3311 0.6698 -1.1017
H -6.1007 1.0726 -1.7991
Ba -3.5545 1.3023 -0.1104
Ta -6.7342 -0.4395 -0.7013
```

---

Entry 8:
A relaxed BaTaH crystal. Source: Alexandria via LeMat-Bulk, functional PBE.

Calculated values
The value obtained for the polymorph energy (0 for the lowest one) is 171 meV per atom. Its volume is 22.6 Å³ per atom. As for the total DFT energy (no corrections): -5.478 eV/atom. Its space group is Pm. For the density of states at the Fermi level, the calculation gives 5.3 states/eV per cell.

```
6
Lattice="-1.7265 -3.1924 -0.4274 1.2205 -0.1910 -3.5042 8.8711 -3.5075 3.2810" Properties=species:S:1:pos:R:3 pbc="T T T"
Ta 4.9040 -2.3107 1.8340
H 3.5576 -4.7843 -0.4700
Ba 2.5147 -2.4342 -0.9613
Ba 7.7590 -4.0298 2.9221
Ta 5.3911 -4.5097 0.1536
H -0.0883 -3.2616 0.1470
```

---

Entry 9:
A relaxed BaTaH crystal. Source: Alexandria via LeMat-Bulk, functional PBE.

Calculated values
The value obtained for the polymorph energy (0 for the lowest one) is 1 meV per atom. Its volume is 23.7 Å³ per atom. As for the total DFT energy (no corrections): -5.649 eV/atom. Its space group is P2_1/m. For the density of states at the Fermi level, the calculation gives 3.2 states/eV per cell.

```
6
Lattice="-2.1354 -2.8398 1.0930 -0.5895 -0.9304 -3.5691 9.2860 -4.7176 -0.3039" Properties=species:S:1:pos:R:3 pbc="T T T"
H 5.9146 -4.7549 -0.7146
Ta 2.2207 -4.9045 -2.0200
Ba 5.0309 -6.9960 -1.9389
Ba 1.5303 -1.4919 -0.8411
H 0.6466 -3.7330 -2.0654
Ta 4.3404 -3.5833 -0.7600
```

---

Entry 10:
A relaxed BaTaH crystal. Source: Alexandria via LeMat-Bulk, functional PBE.

Calculated values
The value obtained for the polymorph energy (0 for the lowest one) is 179 meV per atom. Its volume is 24.3 Å³ per atom. As for the total DFT energy (no corrections): -5.470 eV/atom. Its space group is P2_1. For the density of states at the Fermi level, the calculation gives 4.6 states/eV per cell.

```
6
Lattice="3.5969 0.0000 0.0017 0.0000 3.9330 0.0000 1.7457 0.0000 10.3068" Properties=species:S:1:pos:R:3 pbc="T T T"
Ba 1.7689 1.2903 8.3195
H 3.5708 0.8634 4.0675
Ta 1.7729 1.5889 4.7138
Ta 3.5697 3.5554 5.5946
H 1.7718 2.8299 6.2410
Ba 3.5737 3.2567 1.9889
```

---

Entry 11:
A relaxed BaTaH crystal. Source: Alexandria via LeMat-Bulk, functional PBE.

Calculated values
The value obtained for the polymorph energy (0 for the lowest one) is 2113 meV per atom. Its volume is 25.5 Å³ per atom. As for the total DFT energy (no corrections): -3.537 eV/atom. Its space group is F-43m. For the density of states at the Fermi level, the calculation gives 1.7 states/eV per cell.

```
3
Lattice="0.0000 3.3685 3.3685 3.3685 0.0000 3.3685 3.3685 3.3685 0.0000" Properties=species:S:1:pos:R:3 pbc="T T T"
H 1.6843 1.6843 1.6843
Ba 5.0528 5.0528 5.0528
Ta 3.3685 3.3685 3.3685
```

---

Entry 12:
A relaxed BaTb2H crystal. Source: Alexandria via LeMat-Bulk, functional PBE.

Calculated values
Its volume is 28.6 Å³ per atom. As for the total DFT energy (no corrections): -3.620 eV/atom. Its space group is R-3m. For the density of states at the Fermi level, the calculation gives 4.2 states/eV per cell.

```
4
Lattice="-2.9490 -2.1404 -0.1527 -0.0919 -3.1156 1.8937 -4.9150 3.0705 8.3254" Properties=species:S:1:pos:R:3 pbc="T T T"
H -3.9780 -1.0928 5.0332
Ba 0.0000 0.0000 0.0000
Tb -4.4742 -3.4844 4.5864
Tb -3.4817 1.2988 5.4799
```

---

Entry 13:
A relaxed BaTcH3 crystal. Source: Alexandria via LeMat-Bulk, functional PBE.

Calculated values
The value obtained for the polymorph energy (0 for the lowest one) is 0 meV per atom. Its volume is 12.2 Å³ per atom. As for the total DFT energy (no corrections): -4.543 eV/atom. Its space group is Pm-3m. For the density of states at the Fermi level, the calculation gives 0.2 states/eV per cell.

```
5
Lattice="-0.5109 3.0479 2.4333 -1.3946 -2.4346 2.7567 3.6422 -0.5047 1.3968" Properties=species:S:1:pos:R:3 pbc="T T T"
Ba 0.8684 0.0543 3.2934
Tc 0.0000 0.0000 0.0000
H -0.6973 -1.2173 1.3784
H 1.8211 -0.2523 0.6984
H -0.2554 1.5240 1.2166
```

---

Entry 14:
A relaxed BaTcH2 crystal. Source: Alexandria via LeMat-Bulk, functional PBE.

Calculated values
The value obtained for the polymorph energy (0 for the lowest one) is 712 meV per atom. Its volume is 17.4 Å³ per atom. As for the total DFT energy (no corrections): -3.775 eV/atom. Its space group is Fm-3m. For the density of states at the Fermi level, the calculation gives 3.9 states/eV per cell.

```
4
Lattice="0.6752 -4.5548 -0.3467 -2.6030 -2.9138 2.4610 -3.1376 -2.6445 -2.1176" Properties=species:S:1:pos:R:3 pbc="T T T"
Tc 0.0000 0.0000 0.0000
H -3.7991 -7.5849 -0.0025
Ba -2.5327 -5.0566 -0.0016
H -1.2664 -2.5283 -0.0008
```

---

Entry 15:
A relaxed BaTcH2 crystal. Source: Alexandria via LeMat-Bulk, functional PBE.

Calculated values
The value obtained for the polymorph energy (0 for the lowest one) is 0 meV per atom. Its volume is 15.0 Å³ per atom. As for the total DFT energy (no corrections): -4.488 eV/atom. Its space group is I-42d. For the density of states at the Fermi level, the calculation gives 6.3 states/eV per cell.

```
8
Lattice="5.6586 0.0000 0.0000 0.0000 5.6586 0.0000 2.8293 2.8293 3.7556" Properties=species:S:1:pos:R:3 pbc="T T T"
H 2.1429 4.2439 0.9389
Ba 5.6586 2.8293 1.8778
H 7.0732 6.3450 2.8167
H 4.2439 4.9722 2.8167
Tc 2.8293 5.6586 1.8778
H 3.5157 1.4146 0.9389
Ba 0.0000 0.0000 0.0000
Tc 2.8293 2.8293 0.0000
```

---

Entry 16:
A relaxed Ba2TcH crystal. Source: Alexandria via LeMat-Bulk, functional PBE.

Calculated values
The value obtained for the polymorph energy (0 for the lowest one) is 0 meV per atom. Its volume is 30.1 Å³ per atom. As for the total DFT energy (no corrections): -3.727 eV/atom. Its space group is I-42d. For the density of states at the Fermi level, the calculation gives 4.3 states/eV per cell.

```
8
Lattice="-7.2508 -1.4262 -1.3903 1.9811 -5.7041 -4.4810 -2.7509 -6.2226 0.3959" Properties=species:S:1:pos:R:3 pbc="T T T"
Tc -6.3183 -5.6070 -1.9650
H -2.6348 -3.5651 -2.9356
Ba -0.8093 -5.3882 -2.9624
Tc 0.0000 0.0000 0.0000
Ba -3.9154 -7.6976 -2.1850
H -1.7023 -7.7459 -3.5104
Ba -6.7980 -10.5492 -4.5602
Ba -4.5184 -3.0708 -1.2431
```

---

Entry 17:
A relaxed BaTcH3 crystal. Source: Alexandria via LeMat-Bulk, functional PBE.

Calculated values
The value obtained for the polymorph energy (0 for the lowest one) is 1304 meV per atom. Its volume is 22.1 Å³ per atom. As for the total DFT energy (no corrections): -3.239 eV/atom. Its space group is Pm-3m. For the density of states at the Fermi level, the calculation gives 4.4 states/eV per cell.

```
5
Lattice="-3.9253 -1.8050 2.0851 0.0994 -3.7173 -3.0307 2.7560 -2.4367 3.0790" Properties=species:S:1:pos:R:3 pbc="T T T"
Ba 0.0000 0.0000 0.0000
H 0.0497 -1.8586 -1.5154
Tc -0.5349 -3.9795 1.0667
H -1.9626 -0.9025 1.0426
H 1.3780 -1.2183 1.5395
```

---

Entry 18:
A relaxed Ba2TcH6 crystal. Source: Alexandria via LeMat-Bulk, functional PBE.

Calculated values
Its volume is 14.8 Å³ per atom. As for the total DFT energy (no corrections): -4.207 eV/atom. Its space group is Fm-3m. For the density of states at the Fermi level, the calculation gives 7.5 states/eV per cell.

```
9
Lattice="-5.0031 -2.7846 -0.3007 -1.4288 -2.8195 -4.7838 -0.0930 -5.7329 -0.0295" Properties=species:S:1:pos:R:3 pbc="T T T"
H -4.2316 -4.0627 -1.3007
Ba -4.8936 -8.5027 -3.8355
H -2.2414 -4.0822 -3.7968
Ba -1.6312 -2.8342 -1.2785
H -5.0271 -5.6326 -3.9642
Tc 0.0000 0.0000 0.0000
H -2.2932 -7.2742 -3.8133
H -1.4977 -5.7043 -1.1497
H -4.2834 -7.2548 -1.3171
```

---

Entry 19:
A relaxed Ba2TcH crystal. Source: Alexandria via LeMat-Bulk, functional PBE.

Calculated values
The value obtained for the polymorph energy (0 for the lowest one) is 150 meV per atom. Its volume is 28.2 Å³ per atom. As for the total DFT energy (no corrections): -3.577 eV/atom. Its space group is Fm-3m. For the density of states at the Fermi level, the calculation gives 8.7 states/eV per cell.

```
4
Lattice="-4.5632 -2.9232 0.2252 -4.8107 2.4951 0.2246 -3.3364 -0.1529 -4.2736" Properties=species:S:1:pos:R:3 pbc="T T T"
Tc -6.3552 -0.2905 -1.9119
Ba -9.5327 -0.4357 -2.8678
Ba -3.1776 -0.1452 -0.9559
H 0.0000 0.0000 0.0000
```

---

Entry 20:
A relaxed BaTcTeH2 crystal. Source: Alexandria via LeMat-Bulk, functional PBE.

Calculated values
Its volume is 28.5 Å³ per atom. As for the total DFT energy (no corrections): -3.710 eV/atom. Its space group is P4/mmm. For the density of states at the Fermi level, the calculation gives 2.7 states/eV per cell.

```
5
Lattice="-1.0634 -3.6289 2.3595 -2.1699 -3.2672 -6.0029 4.1130 -1.6043 -0.6136" Properties=species:S:1:pos:R:3 pbc="T T T"
Tc 0.4398 -4.2501 -2.1285
H 2.0565 -0.8021 -0.3068
H -0.5317 -1.8144 1.1797
Te -1.0849 -1.6336 -3.0014
Ba 0.0000 0.0000 0.0000
```